[1]
The following is a DFT calculation (GGA-PBE) of a geometry-optimized AcCe2Ni2Sn2 structure.

Cell lengths 4.5067, 4.5067, 9.9266 Å; angles 76.88, 76.88, 60.00 degrees
Last column: nearest neighbours and their distance in Å.
Fractional coordinates of all 7 atoms:
Ni: 0.4431 0.4431 0.6707  3 Sn 2.78, 3 Ce 2.78
Ni: 0.5569 0.5569 0.3293  3 Sn 2.78, 3 Ce 2.78
Sn: 0.2571 0.2571 0.2286  3 Ni 2.78
Sn: 0.7429 0.7429 0.7714  3 Ni 2.78
Ce: 0.1435 0.1435 0.5696  3 Ni 2.78, 3 Ce 2.92
Ce: 0.8565 0.8565 0.4304  3 Ni 2.78, 3 Ce 2.92
Ac: 0.0000 0.0000 0.0000  6 Sn 3.40

Properties
Space-group type = No. 166
E_form = -542 meV/atom


[2]
The following is a DFT calculation (GGA-PBE) of a geometry-optimized Sr6As2PdI3 structure.

Cell lengths 7.9026, 7.9026, 8.4936 Å; angles 98.99, 98.99, 120.03 degrees
Last column: nearest neighbours and their distance in Å.
Fractional coordinates of all 12 atoms:
Pd: 0.0000 0.0000 0.0000  6 Sr 3.08-3.09
Sr: 0.7355 0.7355 0.2022  1 Pd 3.09, 2 As 3.10
Sr: 0.9330 0.6009 0.7993  1 Pd 3.08, 2 As 3.10
Sr: 0.2645 0.2645 0.7978  1 Pd 3.09, 2 As 3.10
Sr: 0.6009 0.9330 0.7993  1 Pd 3.08, 2 As 3.10
Sr: 0.3991 0.0670 0.2007  1 Pd 3.08, 2 As 3.10
Sr: 0.0670 0.3991 0.2007  1 Pd 3.08, 2 As 3.10
As: 0.3339 0.6661 0.0000  6 Sr 3.10
As: 0.6661 0.3339 0.0000  6 Sr 3.10
I: 0.5000 0.5000 0.5000  6 Sr 3.57-3.58
I: 0.8301 0.1699 0.5000  6 Sr 3.55-3.59
I: 0.1699 0.8301 0.5000  6 Sr 3.55-3.59

Properties
Formation energy (no corrections) = -1247 meV per atom
Space-group type = No. 12